# 1
K2CrN2: optimized geometry, GGA-PBE.

Calculated values
Space group: No. 12
Theoretical density in g/cm3: 2.147
Formation energy (no corrections) in meV per atom: -330
DOS(E_F) in states/eV/atom: 0.251

abc: 3.4328 10.0693 7.6358
angles: 102.18 77.01 80.19
Fractional positions:
K 0.9887 0.6866 0.3360
K 0.1474 0.8086 0.8966
K 0.0113 0.3134 0.6640
K 0.8526 0.1914 0.1034
Cr 0.6816 0.0084 0.6283
Cr 0.3184 0.9916 0.3717
N 0.2471 0.9187 0.5870
N 0.5240 0.1387 0.8132
N 0.7529 0.0813 0.4130
N 0.4760 0.8613 0.1868

=====

# 2
KNd2Cr2N6: optimized geometry, GGA-PBE.

Calculated values
Space group: No. 2
Theoretical density in g/cm3: 3.876
Formation energy (no corrections) in meV per atom: -517
DOS(E_F) in states/eV/atom: 0.269

abc: 6.8606 6.4905 6.9881
angles: 117.78 90.00 58.13
Last column: magnetic moment on the atom in μB.
Fractional positions:
K 0.5000 0.0000 0.5000  0.00
Nd 0.8173 0.3657 0.8011  -0.01
Nd 0.1827 0.6343 0.1989  -0.01
Cr 0.1216 0.7576 0.8115  -0.07
Cr 0.8784 0.2424 0.1885  -0.07
N 0.3924 0.6157 0.8565  0.15
N 0.0061 0.3863 0.1445  0.15
N 0.0815 0.8378 0.6068  0.10
N 0.9939 0.6137 0.8555  0.15
N 0.9185 0.1622 0.3932  0.10
N 0.6076 0.3843 0.1435  0.15

=====

# 3
K2NpCrN4: optimized geometry, GGA-PBE.

Calculated values
Space group: No. 31
Theoretical density in g/cm3: 4.943
Formation energy (no corrections) in meV per atom: -414
DOS(E_F) in states/eV/atom: 0.927

abc: 5.5296 7.7398 6.6442
angles: 90.00 90.00 90.00
Last column: magnetic moment on the atom in μB.
Fractional positions:
K 0.4630 0.3625 0.2594  0.00
K 0.4630 0.3625 0.7406  0.00
K 0.9630 0.6375 0.7594  0.00
K 0.9630 0.6375 0.2406  0.00
Np 0.9805 0.1061 0.5000  2.87
Np 0.4805 0.8939 0.0000  2.87
Cr 0.5059 0.8423 0.5000  0.52
Cr 0.0059 0.1577 0.0000  0.52
N 0.3188 0.1364 0.0000  -0.13
N 0.8188 0.8636 0.5000  -0.13
N 0.3809 0.0515 0.5000  -0.11
N 0.8809 0.9485 0.0000  -0.11
N 0.4439 0.7324 0.7341  -0.12
N 0.9439 0.2676 0.2341  -0.12
N 0.9439 0.2676 0.7659  -0.12
N 0.4439 0.7324 0.2659  -0.12